This record from Alexandria describes a geometry-optimized Sc3InAs structure. The functional is PBE.

Computed properties:
energy above the lowest structure with this stoichiometry = 0.875 eV/atom
ΔH_f (0 K) = 330 meV per atom

Cell lengths 5.2544, 5.2544, 5.2544 Å; angles 90.00, 90.00, 90.00 degrees
Last column: nearest neighbours and their distance in Å.
Fractional coordinates of all 5 atoms:
1 Sc 0.0000 0.5000 0.0000  2 In 2.63
2 As 0.5000 0.5000 0.5000  12 Sc 3.72
3 Sc 0.5000 0.0000 0.0000  2 In 2.63
4 Sc 0.0000 0.0000 0.5000  2 In 2.63
5 In 0.0000 0.0000 0.0000  6 Sc 2.63

=====

This record from Alexandria describes a geometry-optimized Sc2InAs structure. The functional is PBE.

Computed properties:
energy above the lowest structure with this stoichiometry = 0.676 eV/atom
ΔH_f (0 K) = -148 meV per atom

Cell lengths 9.6213, 9.6213, 9.6213 Å; angles 20.15, 20.15, 20.15 degrees
Last column: nearest neighbours and their distance in Å.
Fractional coordinates of all 4 atoms:
1 As 0.5028 0.5028 0.5028  3 Sc 2.83, 3 In 3.00
2 Sc 0.2421 0.2421 0.2421  3 As 2.83
3 In 0.7551 0.7551 0.7551  3 As 3.00, 3 Sc 3.16
4 Sc 0.0001 0.0001 0.0001  3 In 3.16, 9 Sc 3.23-3.37

=====

This record from Alexandria describes a geometry-optimized Sc2In2As structure. The functional is PBE.

Computed properties:
ΔH_f (0 K) = -544 meV per atom

Cell lengths 7.0484, 7.0484, 4.7425 Å; angles 90.00, 90.00, 90.00 degrees
Last column: nearest neighbours and their distance in Å.
Fractional coordinates of all 10 atoms:
1 Sc 0.3363 0.8363 0.0000  2 As 2.64
2 In 0.1483 0.6483 0.5000  1 In 2.96, 6 Sc 3.02-3.24
3 As 0.5000 0.5000 0.0000  4 Sc 2.64
4 In 0.6483 0.8517 0.5000  1 In 2.96, 6 Sc 3.02-3.24
5 In 0.3517 0.1483 0.5000  1 In 2.96, 6 Sc 3.02-3.24
6 As 0.0000 0.0000 0.0000  4 Sc 2.64
7 Sc 0.8363 0.6637 0.0000  2 As 2.64
8 Sc 0.6637 0.1637 0.0000  2 As 2.64
9 Sc 0.1637 0.3363 0.0000  2 As 2.64
10 In 0.8517 0.3517 0.5000  1 In 2.96, 6 Sc 3.02-3.24

=====

This record from Alexandria describes a geometry-optimized ScInAs2 structure. The functional is PBE.

Computed properties:
ΔH_f (0 K) = -130 meV per atom

Cell lengths 3.2046, 3.2046, 8.7018 Å; angles 90.00, 90.00, 101.24 degrees
Last column: nearest neighbours and their distance in Å.
Fractional coordinates of all 4 atoms:
1 Sc 0.5000 0.5000 0.7698  2 As 2.67
2 As 0.5000 0.5000 0.2645  4 In 2.87-3.20, 4 As 3.20
3 As 0.0000 0.0000 0.9685  2 Sc 2.67
4 In 0.0000 0.0000 0.4972  4 As 2.87-3.20, 2 Sc 3.12, 4 In 3.20

=====

This record from Alexandria describes a geometry-optimized Sc2InAs structure. The functional is PBE.

Computed properties:
energy above the lowest structure with this stoichiometry = 0.183 eV/atom
ΔH_f (0 K) = -642 meV per atom

Cell lengths 5.8234, 5.8234, 4.0763 Å; angles 69.49, 69.49, 41.07 degrees
Last column: nearest neighbours and their distance in Å.
Fractional coordinates of all 4 atoms:
1 In 0.2503 0.2503 0.2498  4 Sc 2.89
2 As 0.4999 0.4999 0.5001  4 Sc 2.89
3 Sc 0.0000 0.0000 0.9999  4 As 2.89
4 Sc 0.7499 0.7499 0.7502  4 In 2.89

=====

This record from Alexandria describes a geometry-optimized Sc2InAs structure. The functional is PBE.

Computed properties:
energy above the lowest structure with this stoichiometry = 0.134 eV/atom
ΔH_f (0 K) = -690 meV per atom

Cell lengths 3.5081, 3.2887, 7.8030 Å; angles 72.79, 90.00, 90.00 degrees
Last column: nearest neighbours and their distance in Å.
Fractional coordinates of all 4 atoms:
1 As 0.5000 0.2500 0.2500  4 Sc 2.67
2 In 0.5000 0.7500 0.7500  8 Sc 3.18-3.20, 4 In 3.29-3.51
3 Sc 0.0000 0.0453 0.0311  2 As 2.67
4 Sc 0.0000 0.4547 0.4689  2 As 2.67

=====

This record from Alexandria describes a geometry-optimized ScInAs2 structure. The functional is PBE.

Computed properties:
ΔH_f (0 K) = -581 meV per atom

Cell lengths 6.7957, 6.7957, 3.9304 Å; angles 90.00, 90.00, 30.81 degrees
Last column: nearest neighbours and their distance in Å.
Fractional coordinates of all 4 atoms:
1 As 0.9560 0.9560 0.1252  4 In 2.82, 2 Sc 2.83
2 As 0.7289 0.7289 0.6248  1 In 2.66, 4 Sc 2.78
3 Sc 0.2892 0.2892 0.1247  6 As 2.78-2.83
4 In 0.5259 0.5259 0.6253  5 As 2.66-2.82

=====

This record from Alexandria describes a geometry-optimized ScInAs structure. The functional is PBE.

Computed properties:
energy above the lowest structure with this stoichiometry = 0.306 eV/atom
ΔH_f (0 K) = -228 meV per atom

Cell lengths 4.7300, 4.7300, 4.7300 Å; angles 60.00, 60.00, 60.00 degrees
Last column: nearest neighbours and their distance in Å.
Fractional coordinates of all 3 atoms:
1 Sc 0.7500 0.7500 0.7500  4 As 2.90, 4 In 2.90
2 In 0.5000 0.5000 0.5000  4 Sc 2.90
3 As 0.0000 0.0000 0.0000  4 Sc 2.90

=====

This record from Alexandria describes a geometry-optimized ScIn2As structure. The functional is PBE.

Computed properties:
ΔH_f (0 K) = 5 meV per atom

Cell lengths 3.2036, 3.2036, 9.2821 Å; angles 90.00, 90.00, 105.32 degrees
Last column: nearest neighbours and their distance in Å.
Fractional coordinates of all 4 atoms:
1 In 0.0000 0.0000 0.9978  2 As 3.01, 2 Sc 3.04, 4 In 3.20
2 In 0.0000 0.0000 0.5022  2 As 3.01, 2 Sc 3.04, 4 In 3.20
3 Sc 0.5000 0.5000 0.2500  4 In 3.04, 4 Sc 3.20
4 As 0.5000 0.5000 0.7500  4 In 3.01, 4 As 3.20

=====

This record from Alexandria describes a geometry-optimized Sc2InAs structure. The functional is PBE.

Computed properties:
energy above the lowest structure with this stoichiometry = 0.346 eV/atom
ΔH_f (0 K) = -478 meV per atom

Cell lengths 4.9410, 4.9410, 4.9410 Å; angles 60.00, 60.00, 60.00 degrees
Last column: nearest neighbours and their distance in Å.
Fractional coordinates of all 4 atoms:
1 In 0.5000 0.5000 0.5000  8 Sc 3.03
2 As 0.0000 0.0000 0.0000  8 Sc 3.03
3 Sc 0.7500 0.7500 0.7500  4 In 3.03, 4 As 3.03
4 Sc 0.2500 0.2500 0.2500  4 As 3.03, 4 In 3.03

=====

This record from Alexandria describes a geometry-optimized Sc2InAs structure. The functional is PBE.

Computed properties:
energy above the lowest structure with this stoichiometry = 0.157 eV/atom
ΔH_f (0 K) = -667 meV per atom

Cell lengths 3.3139, 3.3139, 7.9766 Å; angles 90.00, 90.00, 100.92 degrees
Last column: nearest neighbours and their distance in Å.
Fractional coordinates of all 4 atoms:
1 As 0.5000 0.5000 0.2500  4 Sc 2.72
2 Sc 0.0000 0.0000 0.4650  2 As 2.72
3 Sc 0.0000 0.0000 0.0350  2 As 2.72
4 In 0.5000 0.5000 0.7500  8 Sc 3.10-3.42, 4 In 3.31

=====

This record from Alexandria describes a geometry-optimized Sc2InAs structure. The functional is PBE.

Computed properties:
energy above the lowest structure with this stoichiometry = 0.136 eV/atom
ΔH_f (0 K) = -688 meV per atom

Cell lengths 3.9672, 4.1056, 5.6832 Å; angles 68.82, 90.00, 90.00 degrees
Last column: nearest neighbours and their distance in Å.
Fractional coordinates of all 4 atoms:
1 Sc 0.5000 0.2583 0.3586  3 In 2.88-3.18, 4 As 2.88
2 Sc 0.0000 0.9872 0.9003  1 As 2.78, 4 In 2.89
3 In 0.5000 0.5291 0.8160  2 As 2.87, 7 Sc 2.88-3.18
4 As 0.0000 0.7254 0.4250  5 Sc 2.78-2.88, 2 In 2.87

=====

This record from Alexandria describes a geometry-optimized ScInAs structure. The functional is PBE.

Computed properties:
energy above the lowest structure with this stoichiometry = 0.000 eV/atom
ΔH_f (0 K) = -533 meV per atom

Cell lengths 6.1542, 6.1542, 6.1542 Å; angles 144.62, 144.61, 50.91 degrees
Last column: nearest neighbours and their distance in Å.
Fractional coordinates of all 3 atoms:
1 Sc 0.4014 0.4014 0.0000  4 As 2.66
2 In 0.6731 0.6731 0.0000  1 As 2.80, 1 Sc 3.02
3 As 0.9255 0.9255 0.0000  4 Sc 2.66, 1 In 2.80

=====

This record from Alexandria describes a geometry-optimized Sc2InAs structure. The functional is PBE.

Computed properties:
energy above the lowest structure with this stoichiometry = 0.163 eV/atom
ΔH_f (0 K) = -661 meV per atom

Cell lengths 3.5728, 3.5728, 6.5179 Å; angles 90.00, 90.00, 90.00 degrees
Last column: nearest neighbours and their distance in Å.
Fractional coordinates of all 4 atoms:
1 Sc 0.0000 0.0000 0.4741  4 As 2.92, 1 Sc 2.92, 4 In 3.10
2 Sc 0.0000 0.0000 0.0259  4 As 2.92, 1 Sc 2.92, 4 In 3.10
3 In 0.5000 0.5000 0.7500  8 Sc 3.10, 2 As 3.26
4 As 0.5000 0.5000 0.2500  8 Sc 2.92, 2 In 3.26

=====

This record from Alexandria describes a geometry-optimized Sc2InAs structure. The functional is PBE.

Computed properties:
energy above the lowest structure with this stoichiometry = 0.301 eV/atom
ΔH_f (0 K) = -524 meV per atom

Cell lengths 3.7779, 3.7779, 7.0604 Å; angles 90.00, 90.00, 90.00 degrees
Last column: nearest neighbours and their distance in Å.
Fractional coordinates of all 4 atoms:
1 Sc 0.5000 0.5000 0.3536  4 As 2.67
2 As 0.0000 0.0000 0.3615  5 Sc 2.65-2.67
3 Sc 0.0000 0.0000 0.9867  1 As 2.65
4 In 0.5000 0.5000 0.7982  5 Sc 2.98-3.14

=====

This record from Alexandria describes a geometry-optimized Sc2InAs structure. The functional is PBE.

Computed properties:
energy above the lowest structure with this stoichiometry = 0.259 eV/atom
ΔH_f (0 K) = -565 meV per atom

Cell lengths 4.0391, 4.0391, 5.6811 Å; angles 90.00, 90.00, 90.00 degrees
Last column: nearest neighbours and their distance in Å.
Fractional coordinates of all 4 atoms:
1 In 0.5000 0.5000 0.8749  6 Sc 2.84-2.86
2 As 0.0000 0.0000 0.3751  6 Sc 2.84-2.86
3 Sc 0.0000 0.0000 0.8752  2 As 2.84, 4 In 2.86
4 Sc 0.5000 0.5000 0.3748  2 In 2.84, 4 As 2.86

=====

This record from Alexandria describes a geometry-optimized ScInAs2 structure. The functional is PBE.

Computed properties:
ΔH_f (0 K) = -341 meV per atom

Cell lengths 4.9782, 4.9782, 5.8257 Å; angles 75.24, 75.24, 41.39 degrees
Last column: nearest neighbours and their distance in Å.
Fractional coordinates of all 4 atoms:
1 As 0.5148 0.5148 0.4158  2 As 2.68, 3 Sc 2.77-2.88
2 In 0.7500 0.7500 0.7500  6 As 3.22-3.30, 4 Sc 3.40, 2 In 3.52
3 Sc 0.2500 0.2500 0.2500  6 As 2.77-2.88
4 As 0.9852 0.9852 0.0842  2 As 2.68, 3 Sc 2.77-2.88

=====

This record from Alexandria describes a geometry-optimized Sc2InAs structure. The functional is PBE.

Computed properties:
energy above the lowest structure with this stoichiometry = 0.214 eV/atom
ΔH_f (0 K) = -610 meV per atom

Cell lengths 5.3332, 5.3332, 5.3332 Å; angles 136.96, 120.24, 76.44 degrees
Last column: nearest neighbours and their distance in Å.
Fractional coordinates of all 4 atoms:
1 Sc 0.5262 0.5262 0.0000  2 As 2.71, 2 In 3.03
2 Sc 0.9738 0.9738 0.0000  2 As 2.71, 2 In 3.03
3 In 0.2500 0.7500 0.5000  8 Sc 3.03-3.25, 4 As 3.30
4 As 0.7500 0.2500 0.5000  4 Sc 2.71

=====

This record from Alexandria describes a geometry-optimized ScIn2As structure. The functional is PBE.

Computed properties:
ΔH_f (0 K) = -394 meV per atom

Cell lengths 5.2212, 5.2212, 5.2622 Å; angles 71.89, 71.89, 44.10 degrees
Last column: nearest neighbours and their distance in Å.
Fractional coordinates of all 4 atoms:
1 Sc 0.5348 0.5348 0.3838  3 As 2.77-2.85, 2 In 3.08
2 In 0.7406 0.7406 0.7600  2 As 2.80, 1 In 2.87
3 In 0.9746 0.9746 0.9807  3 In 2.87-3.13, 2 Sc 3.08, 2 As 3.14
4 As 0.2500 0.2500 0.3755  3 Sc 2.77-2.85, 2 In 2.80

=====

This record from Alexandria describes a geometry-optimized ScInAs2Se structure. The functional is PBE.

Computed properties:
energy above the lowest structure with this stoichiometry = 0.050 eV/atom
energy relative to the elements, uncorrected = 0.406 eV per atom

Cell lengths 6.0971, 6.0971, 5.8324 Å; angles 90.00, 90.00, 90.00 degrees
Last column: nearest neighbours and their distance in Å.
Fractional coordinates of all 5 atoms:
1 As 0.5000 0.0000 0.0000  2 Sc 3.05
2 Sc 0.0000 0.0000 0.0000  2 Se 2.92, 4 As 3.05
3 As 0.0000 0.5000 0.0000  2 Sc 3.05
4 Se 0.0000 0.0000 0.5000  2 Sc 2.92
5 In 0.5000 0.5000 0.5000  8 As 4.22, 4 Se 4.31

=====

| no. | total magnetic moment (μB/atom) |
| --- | --- |
| 1 | 0.00 |
| 2 | 0.30 |
| 3 | 0.00 |
| 4 | 0.00 |
| 5 | 0.00 |
| 6 | 0.00 |
| 7 | 0.00 |
| 8 | 0.00 |
| 9 | 0.00 |
| 10 | 0.00 |
| 11 | 0.00 |
| 12 | 0.00 |
| 13 | 0.00 |
| 14 | 0.04 |
| 15 | 0.00 |
| 16 | 0.00 |
| 17 | 0.00 |
| 18 | 0.00 |
| 19 | 0.00 |
| 20 | 0.43 |